Arrangement A

The following is a PBE calculation of a relaxed structure of Ba2YPtSe6, from OQMD.

a = 7.433 Å, b = 7.433 Å, c = 7.433 Å
α = 121.21°, β = 121.21°, γ = 87.91°
Element x y z (fractional)
Ba 0.250 0.750 0.500
Ba 0.750 0.250 0.500
Y 0.000 0.000 0.000
Pt 0.500 0.500 0.000
Se 0.204 0.321 0.526
Se 0.264 0.264 0.000
Se 0.321 0.796 0.117
Se 0.679 0.204 0.883
Se 0.736 0.736 0.000
Se 0.796 0.679 0.474



Arrangement B

The following is a PBE calculation of a relaxed structure of Ba2YPtSe6, from OQMD.

a = 6.766 Å, b = 7.180 Å, c = 7.437 Å
α = 66.29°, β = 63.91°, γ = 63.54°
Element x y z (fractional)
Ba 0.239 0.276 0.251
Ba 0.761 0.724 0.749
Y 0.000 0.000 0.000
Pt 0.500 0.500 0.500
Se 0.200 0.777 0.321
Se 0.264 0.652 0.819
Se 0.330 0.196 0.691
Se 0.670 0.804 0.309
Se 0.736 0.348 0.181
Se 0.800 0.223 0.679



If we sort the structures by their calculated energies, the order from most to least stable is arrangement B, arrangement A.



Arrangement A

The following is a PBE calculation of a relaxed structure of Ba2ZrPtSe6, from OQMD.

a = 7.222 Å, b = 7.222 Å, c = 7.513 Å
α = 120.76°, β = 120.76°, γ = 59.27°
Element x y z (fractional)
Ba 0.247 0.247 0.245
Ba 0.753 0.753 0.755
Zr 0.000 0.000 0.500
Pt 0.500 0.500 0.000
Se 0.211 0.699 0.199
Se 0.256 0.256 0.681
Se 0.301 0.789 0.801
Se 0.699 0.211 0.199
Se 0.744 0.744 0.319
Se 0.789 0.301 0.801



Arrangement B

The following is a PBE calculation of a relaxed structure of Ba2ZrPtSe6, from OQMD.

a = 7.297 Å, b = 7.297 Å, c = 7.297 Å
α = 60.00°, β = 60.00°, γ = 60.00°
Element x y z (fractional)
Ba 0.250 0.250 0.250
Ba 0.750 0.750 0.750
Zr 0.000 0.000 0.000
Pt 0.500 0.500 0.500
Se 0.256 0.256 0.744
Se 0.256 0.744 0.256
Se 0.256 0.744 0.744
Se 0.744 0.256 0.256
Se 0.744 0.256 0.744
Se 0.744 0.744 0.256



If we sort the structures by their calculated energies, the order from most to least stable is arrangement A, arrangement B.



Arrangement A

The following is a PBE calculation of a relaxed structure of Ba2ZrPtSe6, from OQMD.

a = 7.354 Å, b = 7.354 Å, c = 7.354 Å
α = 122.22°, β = 122.22°, γ = 86.20°
Element x y z (fractional)
Ba 0.250 0.750 0.500
Ba 0.750 0.250 0.500
Zr 0.000 0.000 0.000
Pt 0.500 0.500 0.000
Se 0.194 0.316 0.510
Se 0.258 0.258 0.000
Se 0.316 0.806 0.122
Se 0.684 0.194 0.878
Se 0.742 0.742 0.000
Se 0.806 0.684 0.490



Arrangement B

The following is a PBE calculation of a relaxed structure of Ba2ZrPtSe6, from OQMD.

a = 7.128 Å, b = 7.140 Å, c = 7.182 Å
α = 63.23°, β = 61.97°, γ = 61.61°
Element x y z (fractional)
Ba 0.248 0.252 0.254
Ba 0.752 0.748 0.746
Zr 0.000 0.000 0.000
Pt 0.500 0.500 0.500
Se 0.200 0.778 0.313
Se 0.260 0.670 0.818
Se 0.312 0.200 0.712
Se 0.688 0.800 0.288
Se 0.740 0.330 0.182
Se 0.800 0.222 0.687



If we sort the structures by their calculated energies, the order from most to least stable is arrangement B, arrangement A.